The following is a DFT calculation (PBE) of a relaxed structure of Ca2Co2Ge2N.

Summary:
Volume = 232 Å³ per cell
DOS(E_F) = 10.2 states/eV/cell
Energy = -5.6858 eV per atom
E_form (uncorrected) = -0.575 eV/atom

abc: 10.9167 3.8931 7.0030
angles: 90.00 128.90 90.00
Space group C2/m (No. 12)
Symmetry-distinct sites (fractional):
Ca 0.0606 0.0000 0.2864 (multiplicity 4)
Co 0.1883 0.5000 0.0773 (multiplicity 4)
Ge 0.1613 0.5000 0.7109 (multiplicity 4)
N 0.0000 0.5000 0.0000 (multiplicity 2)